1.
Here is a relaxed RbSn3Sb crystal from Alexandria via LeMat-Bulk. Energies are from PBE-GGA.

a b c (Å): 5.987 5.987 5.987
angles (deg): 90.00 90.00 90.00
Sites, in units of the cell vectors:
Rb: 0.000 0.000 0.000
Sn: 0.000 0.000 0.500
Sn: 0.000 0.500 0.000
Sn: 0.500 0.000 0.000
Sb: 0.500 0.500 0.500

Output
Energy ... -2.058 eV/atom
Energy relative to the lowest polymorph listed for this composition ... 1426 meV per atom
Formation energy from raw total energies ... 6.81 eV/f.u.
SG ... Pm-3m (221)

=====

2.
Here is a relaxed Pa3Co2Rh crystal from Alexandria via LeMat-Bulk. Energies are from PBE-GGA.

a b c (Å): 7.127 7.127 7.127
angles (deg): 57.98 57.98 57.98
Sites, in units of the cell vectors:
Pa: 0.051 0.750 0.449
Pa: 0.250 0.551 0.949
Pa: 0.449 0.051 0.750
Pa: 0.551 0.949 0.250
Pa: 0.750 0.449 0.051
Pa: 0.949 0.250 0.551
Co: 0.153 0.153 0.153
Co: 0.347 0.347 0.347
Co: 0.653 0.653 0.653
Co: 0.847 0.847 0.847
Rh: 0.000 0.000 0.000
Rh: 0.500 0.500 0.500

Output
Energy ... -8.737 eV/atom
Energy relative to the elements ... -395 meV per atom
SG ... R-3c (167)

=====

3.
Here is a relaxed CeGdMn crystal from Alexandria via LeMat-Bulk. Energies are from PBE-GGA.

a b c (Å): 4.870 4.870 3.525
angles (deg): 90.00 90.00 120.00
Sites, in units of the cell vectors:
Ce: 0.000 0.000 0.000
Gd: 0.667 0.333 0.586
Mn: 0.333 0.667 0.304

Output
Energy ... -9.444 eV/atom
Energy relative to the lowest polymorph listed for this composition ... 101 meV per atom
Energy relative to the elements ... 284 meV per atom
SG ... P3m1 (156)

=====

4.
Here is a relaxed PmCdPdRh crystal from Alexandria via LeMat-Bulk. Energies are from PBE-GGA.

a b c (Å): 4.812 4.812 4.812
angles (deg): 60.00 60.00 60.00
Sites, in units of the cell vectors:
Pm: 0.000 0.000 0.000
Cd: 0.500 0.500 0.500
Pd: 0.750 0.750 0.750
Rh: 0.250 0.250 0.250

Output
Energy ... -5.113 eV/atom
Energy relative to the elements ... -561 meV per atom
SG ... F-43m (216)

=====

5.
Here is a relaxed InOsSe2O crystal from Alexandria via LeMat-Bulk. Energies are from PBE-GGA.

a b c (Å): 5.192 5.192 3.729
angles (deg): 90.00 90.00 90.00
Sites, in units of the cell vectors:
In: 0.000 0.000 0.000
Os: 0.500 0.500 0.500
Se: 0.000 0.500 0.500
Se: 0.500 0.000 0.500
O: 0.500 0.500 0.000

Output
Energy ... -5.387 eV/atom
Formation energy from raw total energies ... -1.04 eV/f.u.
SG ... P4/mmm (123)

=====

6.
Here is a relaxed BaTa crystal from Alexandria via LeMat-Bulk. Energies are from PBE-GGA.

a b c (Å): 6.294 6.294 6.294
angles (deg): 30.03 30.03 30.03
Sites, in units of the cell vectors:
Ba: 0.000 0.000 0.000
Ta: 0.500 0.500 0.500

Output
Energy ... -5.479 eV/atom
Energy relative to the lowest polymorph listed for this composition ... 889 meV per atom
Energy relative to the elements ... 1408 meV per atom
SG ... R-3m (166)

=====

7.
Here is a relaxed TlCrP2 crystal from Alexandria via LeMat-Bulk. Energies are from PBE-GGA.

a b c (Å): 4.072 4.072 6.750
angles (deg): 97.63 97.63 45.65
Sites, in units of the cell vectors:
Tl: 0.000 0.000 0.000
Cr: 0.500 0.500 0.500
P: 0.223 0.223 0.631
P: 0.777 0.777 0.369

Output
Energy ... -5.684 eV/atom
Energy relative to the lowest polymorph listed for this composition ... 0 meV per atom
Energy relative to the elements ... 18 meV per atom
SG ... C2/m (12)

=====

8.
Here is a relaxed MgBiAu2F crystal from Alexandria via LeMat-Bulk. Energies are from PBE-GGA.

a b c (Å): 5.288 5.288 5.664
angles (deg): 90.00 90.00 90.00
Sites, in units of the cell vectors:
Mg: 0.000 0.000 0.000
Bi: 0.000 0.000 0.500
Au: 0.000 0.500 0.500
Au: 0.500 0.000 0.500
F: 0.500 0.500 0.000

Output
Energy ... -2.731 eV/atom
Formation energy from raw total energies ... 0.24 eV/f.u.
SG ... P4/mmm (123)

=====

9.
Here is a relaxed Cu2WAu crystal from Alexandria via LeMat-Bulk. Energies are from PBE-GGA.

a b c (Å): 2.757 2.757 7.619
angles (deg): 90.00 90.00 90.00
Sites, in units of the cell vectors:
Cu: 0.000 0.000 0.000
Cu: 0.500 0.500 0.213
W: 0.000 0.000 0.454
Au: 0.500 0.500 0.740

Output
Energy ... -5.890 eV/atom
Energy relative to the lowest polymorph listed for this composition ... 21 meV per atom
Energy relative to the elements ... 215 meV per atom
SG ... P4mm (99)

=====

10.
Here is a relaxed Sr2TmInTe5 crystal from Alexandria via LeMat-Bulk. Energies are from PBE-GGA.

a b c (Å): 10.244 10.244 13.989
angles (deg): 90.00 90.00 154.90
Sites, in units of the cell vectors:
Sr: 0.118 0.882 0.500
Sr: 0.131 0.869 0.139
Sr: 0.869 0.131 0.639
Sr: 0.882 0.118 0.000
Tm: 0.209 0.791 0.842
Tm: 0.791 0.209 0.342
In: 0.443 0.557 0.260
In: 0.557 0.443 0.760
Te: 0.051 0.949 0.884
Te: 0.289 0.711 0.490
Te: 0.308 0.692 0.186
Te: 0.358 0.642 0.823
Te: 0.496 0.504 0.584
Te: 0.504 0.496 0.084
Te: 0.642 0.358 0.323
Te: 0.692 0.308 0.686
Te: 0.711 0.289 0.990
Te: 0.949 0.051 0.384

Output
Energy ... -4.147 eV/atom
Formation energy from raw total energies ... -11.04 eV/f.u.
SG ... Cmc2_1 (36)

=====

11.
Here is a relaxed PuGe2 crystal from Alexandria via LeMat-Bulk. Energies are from PBE-GGA.

a b c (Å): 4.379 4.379 3.854
angles (deg): 90.00 90.00 120.00
Sites, in units of the cell vectors:
Pu: 0.000 0.000 0.000
Ge: 0.333 0.667 0.500
Ge: 0.667 0.333 0.500

Output
Energy ... -8.168 eV/atom
Energy relative to the elements ... -312 meV per atom
SG ... P6/mmm (191)

=====

12.
Here is a relaxed K2CaMn crystal from Alexandria via LeMat-Bulk. Energies are from PBE-GGA.

a b c (Å): 7.793 7.793 7.793
angles (deg): 150.08 128.81 60.43
Sites, in units of the cell vectors:
K: 0.000 0.000 0.000
K: 0.701 0.201 0.500
Ca: 0.400 0.400 0.000
Mn: 0.224 0.724 0.500

Output
Energy ... -2.726 eV/atom
Energy relative to the lowest polymorph listed for this composition ... 140 meV per atom
Energy relative to the elements ... 616 meV per atom
SG ... Imm2 (44)

=====

13.
Here is a relaxed La2Pm4Ge3Cl2 crystal from Alexandria via LeMat-Bulk. Energies are from PBE-GGA.

a b c (Å): 12.164 12.164 12.164
angles (deg): 155.25 155.25 35.29
Sites, in units of the cell vectors:
La: 0.202 0.202 0.000
La: 0.798 0.798 0.000
Pm: 0.088 0.588 0.500
Pm: 0.412 0.912 0.500
Pm: 0.588 0.088 0.500
Pm: 0.912 0.412 0.500
Ge: 0.335 0.335 0.000
Ge: 0.500 0.500 0.000
Ge: 0.665 0.665 0.000
Cl: 0.067 0.067 0.000
Cl: 0.933 0.933 0.000

Output
Energy ... -5.016 eV/atom
Formation energy from raw total energies ... -8.77 eV/f.u.
SG ... I4/mmm (139)

=====

14.
Here is a relaxed NaZn2Ge2 crystal from Alexandria via LeMat-Bulk. Energies are from PBE-GGA.

a b c (Å): 7.971 7.971 2.967
angles (deg): 90.00 90.00 90.00
Sites, in units of the cell vectors:
Na: 0.000 0.000 0.000
Na: 0.500 0.500 0.000
Zn: 0.129 0.371 0.000
Zn: 0.371 0.871 0.000
Zn: 0.629 0.129 0.000
Zn: 0.871 0.629 0.000
Ge: 0.167 0.667 0.500
Ge: 0.333 0.167 0.500
Ge: 0.667 0.833 0.500
Ge: 0.833 0.333 0.500

Output
Energy ... -2.553 eV/atom
Energy relative to the lowest polymorph listed for this composition ... 159 meV per atom
Energy relative to the elements ... 67 meV per atom
SG ... P4/mbm (127)

=====

15.
Here is a relaxed CaMo2Rh crystal from Alexandria via LeMat-Bulk. Energies are from PBE-GGA.

a b c (Å): 4.587 4.587 4.587
angles (deg): 60.00 60.00 60.00
Sites, in units of the cell vectors:
Ca: 0.000 0.000 0.000
Mo: 0.250 0.250 0.250
Mo: 0.500 0.500 0.500
Rh: 0.750 0.750 0.750

Output
Energy ... -7.380 eV/atom
Energy relative to the lowest polymorph listed for this composition ... 173 meV per atom
Energy relative to the elements ... 373 meV per atom
SG ... F-43m (216)

=====

16.
Here is a relaxed ZnTe2Au crystal from Alexandria via LeMat-Bulk. Energies are from PBE-GGA.

a b c (Å): 5.083 4.114 5.097
angles (deg): 90.00 107.42 90.00
Sites, in units of the cell vectors:
Zn: 0.000 0.000 0.000
Te: 0.254 0.500 0.746
Te: 0.746 0.500 0.254
Au: 0.500 0.000 0.500

Output
Energy ... -2.716 eV/atom
Formation energy from raw total energies ... -0.03 eV/f.u.
SG ... P2/m (10)

=====

17.
Here is a relaxed PrEuZn crystal from Alexandria via LeMat-Bulk. Energies are from PBE-GGA.

a b c (Å): 5.170 5.170 3.817
angles (deg): 90.00 90.00 120.00
Sites, in units of the cell vectors:
Pr: 0.000 0.000 0.000
Eu: 0.333 0.667 0.434
Zn: 0.667 0.333 0.726

Output
Energy ... -5.456 eV/atom
Energy relative to the lowest polymorph listed for this composition ... 168 meV per atom
Energy relative to the elements ... -13 meV per atom
SG ... P3m1 (156)

=====

18.
Here is a relaxed LaOs2O crystal from Alexandria via LeMat-Bulk. Energies are from PBE-GGA.

a b c (Å): 7.574 7.574 7.574
angles (deg): 142.44 142.44 54.16
Sites, in units of the cell vectors:
La: 0.375 0.625 0.750
La: 0.625 0.375 0.250
Os: 0.000 0.000 0.000
Os: 0.000 0.000 0.500
Os: 0.000 0.500 0.000
Os: 0.500 0.000 0.500
O: 0.125 0.875 0.250
O: 0.875 0.125 0.750

Output
Energy ... -8.088 eV/atom
Formation energy from raw total energies ... -0.01 eV/f.u.
SG ... I4_1/amd (141)

=====

19.
Here is a relaxed MnReB2Pd crystal from Alexandria via LeMat-Bulk. Energies are from PBE-GGA.

a b c (Å): 4.023 4.023 4.890
angles (deg): 90.00 90.00 90.00
Sites, in units of the cell vectors:
Mn: 0.000 0.000 0.000
Re: 0.500 0.500 0.500
B: 0.000 0.500 0.500
B: 0.500 0.000 0.500
Pd: 0.500 0.500 0.000

Output
Energy ... -6.383 eV/atom
Energy relative to the elements ... 1650 meV per atom
SG ... P4/mmm (123)

=====

20.
Here is a relaxed WSeCl crystal from Alexandria via LeMat-Bulk. Energies are from PBE-GGA.

a b c (Å): 4.334 4.334 4.334
angles (deg): 60.00 60.00 60.00
Sites, in units of the cell vectors:
W: 0.000 0.000 0.000
Se: 0.250 0.250 0.250
Cl: 0.750 0.750 0.750

Output
Energy ... -5.835 eV/atom
Energy relative to the lowest polymorph listed for this composition ... 743 meV per atom
Formation energy from raw total energies ... 0.78 eV/f.u.
SG ... F-43m (216)